Here is Ho8Te3As3P after structural relaxation from Alexandria via LeMat-Bulk. Energies are from GGA-PBE.

Cell: 8.2587 8.2586 8.4462 Å, 119.27 90.00 120.00°
Positions (direct):
Te  0.0000  0.5000  0.0000
Te  0.0000  0.0000  0.0000
Ho  0.2371  0.4741  0.7182
Ho  0.7629  0.0189  0.2818
Ho  0.7386  0.4772  0.7158
Ho  0.2614  0.5228  0.2842
Ho  0.7629  0.5259  0.2818
As  0.5000  0.0000  0.5000
Ho  0.2559  0.0189  0.2818
Ho  0.7441  0.9811  0.7182
As  0.5000  0.5000  0.5000
P  0.0000  0.0000  0.5000
Ho  0.2371  0.9811  0.7182
As  0.0000  0.5000  0.5000
Te  0.5000  0.5000  0.0000

Summary:
- Volume: 27.45 A^3/atom
- Uncorrected formation energy: -130.0 kJ/mol of atoms
- Total magnetic moment: 0.0 μB per cell